Record 1
DFT (PBE-GGA) results for a geometry-optimized Tl2MoP structure.

Cell and atoms, written as POSCAR:
```
Tl2MoP
1.0
-2.4605 -2.1952 -1.4971
2.9906 -3.5528 0.2946
-1.7528 -1.1025 4.4974
Tl Mo P
2 1 1
direct
0.0000 0.0000 0.0000
0.5000 0.0000 0.5000
0.5000 0.5000 0.0000
0.0000 0.5000 0.5000
```

Output
The uncorrected energy is -4.3739 eV per atom. The formation energy comes out at 3.48 eV/f.u.

Record 2
DFT (PBE-GGA) results for a geometry-optimized TlMo2P structure.

Cell and atoms, written as POSCAR:
```
TlMo2P
1.0
-3.2414 -4.2242 -4.9012
-0.0354 -3.7015 -6.2186
-0.5445 -6.1550 -3.7673
Tl Mo P
1 2 1
direct
0.0000 0.0000 0.0000
0.2231 0.2231 0.2231
0.7769 0.7769 0.7769
0.5000 0.5000 0.5000
```

Output
The uncorrected energy is -7.2120 eV per atom. The formation energy comes out at 0.59 eV/f.u.

Record 3
DFT (PBE-GGA) results for a geometry-optimized TlMo2P structure.

Cell and atoms, written as POSCAR:
```
TlMo2P
1.0
7.0915 -1.7375 -0.0040
7.0915 1.7375 -0.0040
6.6675 0.0000 2.9754
Tl Mo P
1 2 1
direct
0.7484 0.7484 0.7484
0.9712 0.9712 0.9712
0.1902 0.1902 0.1902
0.5806 0.5806 0.5806
```

Output
The uncorrected energy is -7.2347 eV per atom. The formation energy comes out at 0.50 eV/f.u.

Record 4
DFT (PBE-GGA) results for a geometry-optimized TlMo2P structure.

Cell and atoms, written as POSCAR:
```
TlMo2P
1.0
-0.7313 1.3889 4.8620
3.7008 3.3289 1.1513
-4.0027 -0.6434 -3.1092
Tl Mo P
1 2 1
direct
0.0000 0.5000 0.5000
0.6980 0.6980 0.0000
0.3020 0.3020 0.0000
0.5000 0.0000 0.5000
```

Output
The uncorrected energy is -7.0544 eV per atom. The formation energy comes out at 1.22 eV/f.u.